First-principles (PBE-GGA) data for a relaxed structure of Ba2TlHg, as listed in the Alexandria database.

Cell lengths 5.8774, 5.8774, 5.8774 Å; angles 60.00, 60.00, 60.00 degrees
Closest atoms and distances in Å follow each position.
Sites, in units of the cell vectors:
Ba: 0.0000 0.0000 0.0000  4 Tl 3.60, 4 Ba 3.60
Ba: 0.2500 0.2500 0.2500  4 Ba 3.60, 4 Hg 3.60
Tl: 0.7500 0.7500 0.7500  4 Hg 3.60, 4 Ba 3.60
Hg: 0.5000 0.5000 0.5000  4 Ba 3.60, 4 Tl 3.60

Properties
- space-group type = No. 216
- crystal system = cubic
- E_form (eV per formula unit) = -0.9
- M_tot (Bohr magnetons per cell) = 0.000
- VASP energy (eV/atom) = -1.87